Here is a relaxed Ce4BiSbC crystal from the Alexandria database. Energies are from PBE-GGA.

Output
* crystal system: orthorhombic
* formation energy without anion corrections: -0.62 eV/atom

Unit cell a=8.935 b=8.935 c=6.905 alpha=90.00 beta=90.00 gamma=134.53
Element x y z (fractional)
1 Ce 0.000 0.500 0.000
2 Ce 0.000 0.500 0.500
3 Ce 0.091 0.909 0.750
4 Ce 0.404 0.596 0.750
5 Ce 0.500 0.000 0.000
6 Ce 0.500 0.000 0.500
7 Ce 0.596 0.404 0.250
8 Ce 0.909 0.091 0.250
9 Bi 0.394 0.606 0.250
10 Bi 0.606 0.394 0.750
11 Sb 0.110 0.890 0.250
12 Sb 0.890 0.110 0.750
13 C 0.247 0.753 0.750
14 C 0.753 0.247 0.250

***

Here is a relaxed Ce2Sm2Bi2C crystal from the Alexandria database. Energies are from PBE-GGA.

Output
* crystal system: tetragonal
* DFT formation energy: -0.591 eV/atom

Unit cell a=9.048 b=9.048 c=9.048 alpha=148.84 beta=148.84 gamma=44.64
Element x y z (fractional)
1 Ce 0.000 0.500 0.500
2 Ce 0.500 0.000 0.500
3 Sm 0.158 0.158 0.000
4 Sm 0.842 0.842 0.000
5 Bi 0.355 0.355 0.000
6 Bi 0.645 0.645 0.000
7 C 0.000 0.000 0.000

***

Here is a relaxed Ce4SnBiC crystal from the Alexandria database. Energies are from PBE-GGA.

Output
* crystal system: orthorhombic
* DFT formation energy: -0.511 eV/atom

Unit cell a=8.938 b=8.938 c=6.942 alpha=90.00 beta=90.00 gamma=134.31
Element x y z (fractional)
1 Ce 0.000 0.500 0.000
2 Ce 0.000 0.500 0.500
3 Ce 0.090 0.910 0.750
4 Ce 0.405 0.595 0.750
5 Ce 0.500 0.000 0.000
6 Ce 0.500 0.000 0.500
7 Ce 0.595 0.405 0.250
8 Ce 0.910 0.090 0.250
9 Sn 0.111 0.889 0.250
10 Sn 0.889 0.111 0.750
11 Bi 0.393 0.607 0.250
12 Bi 0.607 0.393 0.750
13 C 0.247 0.753 0.750
14 C 0.753 0.247 0.250

***

Here is a relaxed TbCe2BiC crystal from the Alexandria database. Energies are from PBE-GGA.

Output
* crystal system: tetragonal
* DFT formation energy: -0.474 eV/atom

Unit cell a=4.980 b=4.980 c=4.993 alpha=90.00 beta=90.00 gamma=90.00
Element x y z (fractional)
1 Tb 0.000 0.000 0.000
2 Ce 0.000 0.500 0.500
3 Ce 0.500 0.000 0.500
4 Bi 0.500 0.500 0.000
5 C 0.000 0.000 0.500

***

Here is a relaxed Tb2CeBiC crystal from the Alexandria database. Energies are from PBE-GGA.

Output
* crystal system: tetragonal
* DFT formation energy: -0.487 eV/atom

Unit cell a=4.976 b=4.976 c=4.959 alpha=90.00 beta=90.00 gamma=90.00
Element x y z (fractional)
1 Tb 0.000 0.500 0.000
2 Tb 0.500 0.000 0.000
3 Ce 0.000 0.000 0.500
4 Bi 0.500 0.500 0.500
5 C 0.000 0.000 0.000

***

Here is a relaxed Tb2Ce2Bi2C crystal from the Alexandria database. Energies are from PBE-GGA.

Output
* crystal system: tetragonal
* DFT formation energy: -0.616 eV/atom

Unit cell a=8.941 b=8.941 c=8.941 alpha=148.15 beta=148.15 gamma=45.66
Element x y z (fractional)
1 Tb 0.000 0.500 0.500
2 Tb 0.500 0.000 0.500
3 Ce 0.157 0.157 0.000
4 Ce 0.843 0.843 0.000
5 Bi 0.361 0.361 0.000
6 Bi 0.639 0.639 0.000
7 C 0.000 0.000 0.000

***

Here is a relaxed Ce4BiTeC crystal from the Alexandria database. Energies are from PBE-GGA.

Output
* crystal system: orthorhombic
* formation energy without anion corrections: -0.67 eV/atom

Unit cell a=8.928 b=8.928 c=6.872 alpha=90.00 beta=90.00 gamma=134.76
Element x y z (fractional)
1 Ce 0.000 0.500 0.000
2 Ce 0.000 0.500 0.500
3 Ce 0.093 0.907 0.750
4 Ce 0.403 0.597 0.750
5 Ce 0.500 0.000 0.000
6 Ce 0.500 0.000 0.500
7 Ce 0.597 0.403 0.250
8 Ce 0.907 0.093 0.250
9 Bi 0.396 0.604 0.250
10 Bi 0.604 0.396 0.750
11 Te 0.110 0.890 0.250
12 Te 0.890 0.110 0.750
13 C 0.247 0.753 0.750
14 C 0.753 0.247 0.250

***

Here is a relaxed Ce2Th4Bi3C2 crystal from the Alexandria database. Energies are from PBE-GGA.

Output
* crystal system: tetragonal
* DFT formation energy: -0.456 eV/atom

Unit cell a=14.018 b=14.018 c=14.018 alpha=160.05 beta=160.05 gamma=28.36
Element x y z (fractional)
1 Ce 0.195 0.195 0.000
2 Ce 0.805 0.805 0.000
3 Th 0.085 0.585 0.500
4 Th 0.415 0.915 0.500
5 Th 0.585 0.085 0.500
6 Th 0.915 0.415 0.500
7 Bi 0.321 0.321 0.000
8 Bi 0.500 0.500 0.000
9 Bi 0.679 0.679 0.000
10 C 0.109 0.109 0.000
11 C 0.891 0.891 0.000

***

Here is a relaxed Ce2Th2Bi2C crystal from the Alexandria database. Energies are from PBE-GGA.

Output
* crystal system: tetragonal
* DFT formation energy: -0.485 eV/atom

Unit cell a=9.092 b=9.092 c=9.092 alpha=148.11 beta=148.11 gamma=45.72
Element x y z (fractional)
1 Ce 0.154 0.154 0.000
2 Ce 0.846 0.846 0.000
3 Th 0.000 0.500 0.500
4 Th 0.500 0.000 0.500
5 Bi 0.355 0.355 0.000
6 Bi 0.645 0.645 0.000
7 C 0.000 0.000 0.000

***

Here is a relaxed CeTmBiC crystal from the Alexandria database. Energies are from PBE-GGA.

Output
* crystal system: tetragonal
* DFT formation energy: -0.559 eV/atom

Unit cell a=4.655 b=4.655 c=9.137 alpha=90.00 beta=90.00 gamma=90.00
Element x y z (fractional)
1 Ce 0.250 0.250 0.180
2 Ce 0.750 0.750 0.820
3 Tm 0.250 0.750 0.500
4 Tm 0.750 0.250 0.500
5 Bi 0.250 0.250 0.804
6 Bi 0.750 0.750 0.196
7 C 0.250 0.250 0.415
8 C 0.750 0.750 0.585

***

Here is a relaxed Ce2Tm5Bi3C2 crystal from the Alexandria database. Energies are from PBE-GGA.

Output
* crystal system: tetragonal
* DFT formation energy: -0.606 eV/atom

Unit cell a=13.441 b=13.441 c=13.441 alpha=159.28 beta=159.28 gamma=29.46
Element x y z (fractional)
1 Ce 0.192 0.192 0.000
2 Ce 0.808 0.808 0.000
3 Tm 0.000 0.000 0.000
4 Tm 0.092 0.592 0.500
5 Tm 0.408 0.908 0.500
6 Tm 0.592 0.092 0.500
7 Tm 0.908 0.408 0.500
8 Bi 0.322 0.322 0.000
9 Bi 0.500 0.500 0.000
10 Bi 0.678 0.678 0.000
11 C 0.094 0.094 0.000
12 C 0.906 0.906 0.000

***

Here is a relaxed Ce2TmBiC crystal from the Alexandria database. Energies are from PBE-GGA.

Output
* crystal system: tetragonal
* DFT formation energy: -0.469 eV/atom

Unit cell a=4.998 b=4.998 c=4.877 alpha=90.00 beta=90.00 gamma=90.00
Element x y z (fractional)
1 Ce 0.000 0.500 0.000
2 Ce 0.500 0.000 0.000
3 Tm 0.000 0.000 0.500
4 Bi 0.500 0.500 0.500
5 C 0.000 0.000 0.000

***

Number 1: total magnetization 3.6 μB/f.u.. Number 2: total magnetization 1.0 μB/f.u.. Number 3: total magnetization 3.5 μB/f.u.. Number 4: total magnetization 1.4 μB/f.u.. Number 5: total magnetization 0.6 μB/f.u.. Number 6: total magnetization 3.4 μB/f.u.. Number 7: total magnetization 2.8 μB/f.u.. Number 8: total magnetization 2.4 μB/f.u.. Number 9: total magnetization 2.3 μB/f.u.. Number 10: total magnetization 0.3 μB/f.u.. Number 11: total magnetization 3.0 μB/f.u.. Number 12: total magnetization 1.4 μB/f.u..